{"formula": "HfZrBe2", "functional": "SCAN", "state": "PBEsol geometry", "cell": [[0.000, 3.109, 3.109], [3.109, 0.000, 3.109], [3.109, 3.109, 0.000]], "species": ["Hf", "Zr", "Be", "Be"], "frac_coords": [[0.000, 0.000, 0.000], [0.500, 0.500, 0.500], [0.250, 0.250, 0.250], [0.750, 0.750, 0.750]], "formation_enthalpy_0k_ev_per_atom": -0.1076, "spacegroup": "Fm-3m (225)"}